[1]
Computed, not measured: an optimized crystal structure of CaY2MgC at the PBE-GGA level of DFT.

The structure in POSCAR format:
```
CaY2MgC
1.0
4.940 0.000 0.000
0.000 4.940 0.000
0.000 0.000 5.282
Y C Ca Mg
2 1 1 1
direct
0.000 0.500 0.000
0.500 0.000 0.000
0.000 0.000 0.000
0.000 0.000 0.500
0.500 0.500 0.500
```

Volume ... 129 Å³/f.u.
Formation energy ... -0.08 eV/atom
Symmetry ... P4/mmm (123)


[2]
Computed, not measured: an optimized crystal structure of CaSi2Rh at the PBE-GGA level of DFT.

The structure in POSCAR format:
```
CaSi2Rh
1.0
-3.716 0.529 0.339
-0.045 -2.106 2.801
0.953 4.506 3.418
Ca Rh Si
1 1 2
direct
0.000 0.624 0.459
0.500 0.626 0.910
0.000 0.125 0.932
0.500 0.125 0.199
```

Electronic total energy ... -5.48 eV per atom
Volume ... 76 Å³/f.u.
Symmetry ... Pm (6)


[3]
Computed, not measured: an optimized crystal structure of RbZr2Sc2O7 at the PBE-GGA level of DFT.

The structure in POSCAR format:
```
RbZr2Sc2O7
1.0
-3.414 -2.000 1.556
2.027 -0.516 3.783
-2.635 9.170 0.195
Rb Zr Sc O
1 2 2 7
direct
0.000 0.000 0.000
0.387 0.387 0.774
0.613 0.613 0.226
0.254 0.753 0.507
0.746 0.246 0.493
0.372 0.872 0.744
0.738 0.738 0.475
0.133 0.633 0.266
0.628 0.128 0.256
0.262 0.262 0.525
0.867 0.367 0.734
0.500 0.500 0.000
```

Electronic total energy ... -8.54 eV per atom
Volume ... 166 Å³/f.u.
Symmetry ... Immm (71)


[4]
Computed, not measured: an optimized crystal structure of Sr2ScAg2Se4 at the PBE-GGA level of DFT.

The structure in POSCAR format:
```
Sr2ScAg2Se4
1.0
-2.696 2.217 2.044
-5.744 -3.358 -3.936
3.564 -4.665 5.759
Sr Sc Ag Se
2 1 2 4
direct
0.137 0.581 0.274
0.863 0.419 0.726
0.000 0.000 0.000
0.685 0.996 0.370
0.315 0.004 0.630
0.192 0.241 0.383
0.808 0.759 0.617
0.506 0.745 0.012
0.494 0.255 0.988
```

Electronic total energy ... -4.46 eV per atom
Volume ... 223 Å³/f.u.
Symmetry ... C2/m (12)


[5]
Computed, not measured: an optimized crystal structure of Ac4CdSn8 at the PBE-GGA level of DFT.

The structure in POSCAR format:
```
Ac4CdSn8
1.0
4.585 0.000 0.000
0.000 4.777 0.000
0.000 0.000 18.941
Ac Cd Sn
4 1 8
direct
0.000 0.000 0.091
0.000 0.500 0.611
0.500 0.500 0.401
0.500 0.000 0.890
0.000 0.000 0.326
0.000 0.000 0.472
0.000 0.500 0.938
0.500 0.500 0.040
0.500 0.000 0.572
0.000 0.500 0.232
0.000 0.000 0.746
0.500 0.000 0.230
0.500 0.500 0.754
```

Volume ... 415 Å³/f.u.
Formation energy ... -0.54 eV/atom
Symmetry ... Pmm2 (25)


[6]
Computed, not measured: an optimized crystal structure of Cr3SbPd at the PBE-GGA level of DFT.

The structure in POSCAR format:
```
Cr3SbPd
1.0
4.862 0.000 0.000
0.000 4.862 0.000
0.000 0.000 4.862
Sb Pd Cr
1 1 3
direct
0.500 0.500 0.500
0.000 0.000 0.000
0.000 0.500 0.000
0.000 0.000 0.500
0.500 0.000 0.000
```

Volume ... 115 Å³/f.u.
Relative energy among the computed polymorphs ... 0 meV per atom
Symmetry ... Pm-3m (221)


[7]
Computed, not measured: an optimized crystal structure of Ca4Te3I at the PBE-GGA level of DFT.

The structure in POSCAR format:
```
Ca4Te3I
1.0
-1.798 3.903 -1.459
-2.980 2.235 2.593
9.402 9.448 6.632
I Ca Te
1 4 3
direct
0.000 0.000 0.000
0.621 0.621 0.137
0.874 0.874 0.378
0.379 0.379 0.863
0.126 0.126 0.622
0.750 0.750 0.750
0.500 0.500 0.500
0.250 0.250 0.250
```

Electronic total energy ... -3.86 eV per atom
Volume ... 261 Å³/f.u.
Symmetry ... R-3m (166)


[8]
Computed, not measured: an optimized crystal structure of NbTcW14 at the PBE-GGA level of DFT.

The structure in POSCAR format:
```
NbTcW14
1.0
5.511 0.186 0.000
-1.989 5.143 0.000
0.000 0.000 9.015
Nb Tc W
1 1 14
direct
0.125 0.875 0.500
0.625 0.375 0.500
0.125 0.875 0.000
0.625 0.375 0.000
0.125 0.375 0.500
0.125 0.375 0.000
0.625 0.875 0.500
0.625 0.875 0.000
0.376 0.126 0.752
0.376 0.126 0.248
0.874 0.624 0.752
0.874 0.624 0.248
0.375 0.625 0.750
0.375 0.625 0.250
0.875 0.125 0.750
0.875 0.125 0.250
```

Volume ... 259 Å³/f.u.
Formation energy ... -0.01 eV/atom
Symmetry ... Cmmm (65)


[9]
Computed, not measured: an optimized crystal structure of BaBeSbI2 at the PBE-GGA level of DFT.

The structure in POSCAR format:
```
BaBeSbI2
1.0
-0.623 5.626 -0.204
-3.406 -0.214 4.520
3.989 0.551 3.032
I Sb Ba Be
2 1 1 1
direct
0.000 0.500 0.000
0.500 0.000 0.000
0.000 0.000 0.500
0.500 0.500 0.500
0.000 0.000 0.000
```

Volume ... 162 Å³/f.u.
Relative energy among the computed polymorphs ... 0 meV per atom
Symmetry ... P4/mmm (123)


[10]
Computed, not measured: an optimized crystal structure of Sm2MgTl at the PBE-GGA level of DFT.

The structure in POSCAR format:
```
Sm2MgTl
1.0
-1.491 1.042 -5.128
-5.259 -0.148 -1.387
-2.633 4.613 -1.184
Tl Mg Sm
1 1 2
direct
0.000 0.000 0.000
0.500 0.500 0.500
0.250 0.250 0.250
0.750 0.750 0.750
```

Volume ... 114 Å³/f.u.
Formation energy ... -0.26 eV/atom
Relative energy among the computed polymorphs ... 0 meV per atom
Symmetry ... Fm-3m (225)


[11]
Computed, not measured: an optimized crystal structure of Al2Pb2O5 at the PBE-GGA level of DFT.

The structure in POSCAR format:
```
Al2Pb2O5
1.0
-0.735 -1.659 3.390
-4.150 -1.227 -3.681
3.857 -4.468 -1.350
Al Pb O
2 2 5
direct
0.152 0.304 0.905
0.848 0.696 0.095
0.387 0.773 0.649
0.613 0.227 0.351
0.321 0.642 0.051
0.679 0.358 0.949
0.162 0.325 0.606
0.838 0.675 0.394
0.000 0.000 0.000
```

Electronic total energy ... -6.47 eV per atom
Volume ... 123 Å³/f.u.
Symmetry ... C2/m (12)


[12]
Computed, not measured: an optimized crystal structure of BeNCl2 at the PBE-GGA level of DFT.

The structure in POSCAR format:
```
BeNCl2
1.0
-7.813 -3.365 2.198
-4.846 -4.886 5.463
-6.621 -0.579 5.747
Be N Cl
1 1 2
direct
0.000 0.000 0.000
0.500 0.500 0.500
0.929 0.929 0.929
0.071 0.071 0.071
```

Volume ... 158 Å³/f.u.
Relative energy among the computed polymorphs ... 172 meV per atom
Symmetry ... R-3m (166)


[13]
Computed, not measured: an optimized crystal structure of KHg2Mo at the PBE-GGA level of DFT.

The structure in POSCAR format:
```
KHg2Mo
1.0
-1.492 -1.808 -1.849
0.336 -2.253 1.930
-8.639 2.548 4.478
Hg K Mo
2 1 1
direct
0.000 0.000 0.964
0.000 0.000 0.536
0.500 0.500 0.250
0.500 0.500 0.750
```

Volume ... 90 Å³/f.u.
Formation energy ... 0.54 eV/atom
Relative energy among the computed polymorphs ... 15 meV per atom
Symmetry ... P4/mmm (123)


[14]
Computed, not measured: an optimized crystal structure of Sc2MoBr at the PBE-GGA level of DFT.

The structure in POSCAR format:
```
Sc2MoBr
1.0
5.452 -0.007 0.002
1.719 5.173 -0.002
-2.776 -3.707 2.876
Br Mo Sc
1 1 2
direct
0.750 0.250 0.500
0.250 0.750 0.500
0.004 0.004 0.000
0.496 0.496 0.000
```

Volume ... 81 Å³/f.u.
Relative energy among the computed polymorphs ... 550 meV per atom
Symmetry ... Immm (71)


[15]
Computed, not measured: an optimized crystal structure of Pm4OsAu at the PBE-GGA level of DFT.

The structure in POSCAR format:
```
Pm4OsAu
1.0
6.347 -0.116 0.000
-1.764 7.957 0.000
-2.291 -3.920 6.751
Pm Os Au
8 2 2
direct
0.026 0.220 0.864
0.791 0.708 0.649
0.337 0.643 0.864
0.358 0.942 0.649
0.642 0.058 0.351
0.663 0.357 0.136
0.209 0.292 0.351
0.974 0.780 0.136
0.251 0.001 0.003
0.749 0.999 0.997
0.379 0.629 0.257
0.621 0.371 0.743
```

Volume ... 170 Å³/f.u.
Formation energy ... -0.35 eV/atom
Symmetry ... C2/c (15)


[16]
Computed, not measured: an optimized crystal structure of PmLu2In at the PBE-GGA level of DFT.

The structure in POSCAR format:
```
PmLu2In
1.0
3.575 0.000 0.000
0.000 3.575 0.000
0.000 0.000 8.999
Lu In Pm
2 1 1
direct
0.000 0.000 0.777
0.000 0.000 0.223
0.500 0.500 0.000
0.500 0.500 0.500
```

Volume ... 115 Å³/f.u.
Formation energy ... -0.23 eV/atom
Relative energy among the computed polymorphs ... 18 meV per atom
Symmetry ... P4/mmm (123)


[17]
Computed, not measured: an optimized crystal structure of Sc3TaPd at the PBE-GGA level of DFT.

The structure in POSCAR format:
```
Sc3TaPd
1.0
4.954 0.000 0.000
0.000 4.954 0.000
0.000 0.000 4.954
Sc Pd Ta
3 1 1
direct
0.000 0.500 0.000
0.000 0.000 0.500
0.500 0.000 0.000
0.000 0.000 0.000
0.500 0.500 0.500
```

Volume ... 122 Å³/f.u.
Formation energy ... 0.46 eV/atom
Relative energy among the computed polymorphs ... 0 meV per atom
Symmetry ... Pm-3m (221)


[18]
Computed, not measured: an optimized crystal structure of SrCaNd2 at the PBE-GGA level of DFT.

The structure in POSCAR format:
```
SrCaNd2
1.0
-2.678 -2.678 -0.359
0.687 -3.110 -2.081
3.852 -7.829 9.497
Sr Ca Nd
1 1 2
direct
0.500 0.500 0.499
0.666 0.666 0.001
0.081 0.081 0.757
0.252 0.252 0.243
```

Volume ... 159 Å³/f.u.
Formation energy ... 0.14 eV/atom
Relative energy among the computed polymorphs ... 0 meV per atom
Symmetry ... R3m (160)


[19]
Computed, not measured: an optimized crystal structure of LaMo2Os at the PBE-GGA level of DFT.

The structure in POSCAR format:
```
LaMo2Os
1.0
0.000 3.287 3.287
3.287 0.000 3.287
3.287 3.287 0.000
Mo Os La
2 1 1
direct
0.250 0.250 0.250
0.750 0.750 0.750
0.500 0.500 0.500
0.000 0.000 0.000
```

Volume ... 71 Å³/f.u.
Formation energy ... 0.44 eV/atom
Relative energy among the computed polymorphs ... 87 meV per atom
Symmetry ... Fm-3m (225)


[20]
Computed, not measured: an optimized crystal structure of CaTaNi10 at the PBE-GGA level of DFT.

The structure in POSCAR format:
```
CaTaNi10
1.0
3.961 0.000 0.000
0.000 4.776 0.000
0.000 0.000 8.272
Ca Ta Ni
1 1 10
direct
0.000 0.000 0.000
0.000 0.500 0.500
0.000 0.000 0.344
0.000 0.500 0.815
0.000 0.500 0.185
0.000 0.000 0.656
0.500 0.000 0.500
0.500 0.500 0.000
0.500 0.258 0.263
0.500 0.742 0.737
0.500 0.742 0.263
0.500 0.258 0.737
```

Volume ... 157 Å³/f.u.
Formation energy ... -0.08 eV/atom
Symmetry ... Pmmm (47)


[21]
Computed, not measured: an optimized crystal structure of Tm2Tl2P at the PBE-GGA level of DFT.

The structure in POSCAR format:
```
Tm2Tl2P
1.0
-0.075 -1.656 -3.469
3.218 -0.666 -1.882
0.823 -10.558 2.892
Tm Tl P
2 2 1
direct
0.732 0.180 0.357
0.268 0.820 0.643
0.502 0.865 0.130
0.498 0.135 0.870
0.000 0.500 0.500
```

Volume ... 136 Å³/f.u.
Formation energy ... -0.67 eV/atom
Symmetry ... C2/m (12)


[22]
Computed, not measured: an optimized crystal structure of K3AgBi at the PBE-GGA level of DFT.

The structure in POSCAR format:
```
K3AgBi
1.0
-2.153 -4.375 -2.986
0.705 -0.914 6.305
-10.808 4.088 1.801
K Ag Bi
6 2 2
direct
0.860 0.367 0.579
0.860 0.367 0.921
0.576 0.799 0.750
0.492 0.633 0.079
0.492 0.633 0.421
0.777 0.201 0.250
0.261 0.169 0.750
0.092 0.831 0.250
0.176 0.000 0.500
0.176 0.000 0.000
```

Volume ... 192 Å³/f.u.
Formation energy ... -0.20 eV/atom
Relative energy among the computed polymorphs ... 0 meV per atom
Symmetry ... Cmcm (63)


[23]
Computed, not measured: an optimized crystal structure of CsRb2Hf at the PBE-GGA level of DFT.

The structure in POSCAR format:
```
CsRb2Hf
1.0
-1.564 -6.057 2.849
-3.401 -0.214 5.970
-6.531 -2.139 0.161
Cs Hf Rb
1 1 2
direct
0.000 0.000 0.000
0.500 0.500 0.500
0.250 0.250 0.250
0.750 0.750 0.750
```

Volume ... 230 Å³/f.u.
Formation energy ... 1.16 eV/atom
Symmetry ... Fm-3m (225)


[24]
Computed, not measured: an optimized crystal structure of Pm2Al4Ir3Au at the PBE-GGA level of DFT.

The structure in POSCAR format:
```
Pm2Al4Ir3Au
1.0
4.206 0.000 0.000
0.000 4.206 0.000
0.000 0.000 10.690
Pm Al Ir Au
2 4 3 1
direct
0.500 0.000 0.245
0.000 0.500 0.755
0.500 0.500 0.000
0.000 0.000 0.000
0.500 0.000 0.634
0.000 0.500 0.366
0.000 0.000 0.500
0.500 0.000 0.867
0.000 0.500 0.133
0.500 0.500 0.500
```

Volume ... 189 Å³/f.u.
Formation energy ... -0.80 eV/atom
Symmetry ... P-4m2 (115)